Entry 1:
Crystalline MgTa2 at its relaxed geometry. Source: Alexandria, functional GGA-PBE.

```
MgTa2
1.0
-1.472 2.088 4.578
1.472 -2.088 4.578
1.472 2.088 -4.578
Mg Ta
1 2
Cartesian
0.000 0.000 0.000 Mg
0.000 0.000 3.020 Ta
0.000 0.000 6.135 Ta
```

Output
Energy relative to the lowest polymorph listed for this composition (eV/atom): 0.0398
Formation energy from the elements (eV/atom): 0.29

---

Entry 2:
Crystalline MgTa2 at its relaxed geometry. Source: Alexandria, functional GGA-PBE.

```
MgTa2
1.0
5.646 -1.428 0.000
5.646 1.428 0.000
-2.002 0.000 7.006
Mg Ta
2 4
Cartesian
0.000 0.000 0.000 Mg
6.821 0.000 2.312 Mg
-0.518 0.000 4.430 Ta
2.440 0.000 4.612 Ta
3.813 0.000 2.083 Ta
6.381 0.000 6.697 Ta
```

Output
Energy relative to the lowest polymorph listed for this composition (eV/atom): 0.0394
Formation energy from the elements (eV/atom): 0.29

---

Entry 3:
Crystalline MgTa at its relaxed geometry. Source: Alexandria, functional GGA-PBE.

```
MgTa
1.0
4.620 0.000 0.000
-2.310 4.001 0.000
0.000 0.000 8.937
Mg Ta
4 4
Cartesian
0.000 2.667 0.720 Mg
0.000 2.667 3.749 Mg
2.310 1.334 5.188 Mg
2.310 1.334 8.218 Mg
0.000 0.000 2.234 Ta
0.000 0.000 6.703 Ta
0.000 2.667 6.703 Ta
2.310 1.334 2.234 Ta
```

Output
Formation energy from the elements (eV/atom): 0.62

---

Entry 4:
Crystalline MgTa2 at its relaxed geometry. Source: Alexandria, functional GGA-PBE.

```
MgTa2
1.0
3.705 0.000 0.000
0.000 3.705 0.000
0.000 0.000 5.201
Mg Ta
1 2
Cartesian
0.000 0.000 0.000 Mg
0.000 1.852 2.600 Ta
1.852 0.000 2.600 Ta
```

Output
Energy relative to the lowest polymorph listed for this composition (eV/atom): 0.7951
Formation energy from the elements (eV/atom): 1.05

---

Entry 5:
Crystalline MgTa2 at its relaxed geometry. Source: Alexandria, functional GGA-PBE.

```
MgTa2
1.0
0.000 3.144 3.144
3.144 0.000 3.144
3.144 3.144 0.000
Mg Ta
1 2
Cartesian
0.000 0.000 0.000 Mg
1.572 1.572 1.572 Ta
4.716 4.716 4.716 Ta
```

Output
Energy relative to the lowest polymorph listed for this composition (eV/atom): 1.0748
Formation energy from the elements (eV/atom): 1.33

---

Entry 6:
Crystalline Mg6Ta7 at its relaxed geometry. Source: Alexandria, functional GGA-PBE.

```
Mg6Ta7
1.0
2.772 1.601 10.066
-2.772 1.601 10.066
0.000 -3.201 10.066
Mg Ta
6 7
Cartesian
0.000 0.000 1.497 Mg
0.000 0.000 4.528 Mg
0.000 0.000 10.070 Mg
0.000 0.000 20.129 Mg
0.000 0.000 25.671 Mg
0.000 0.000 28.702 Mg
-1.376 -0.795 12.808 Ta
0.000 -1.589 17.391 Ta
-1.376 0.795 17.391 Ta
0.000 0.000 15.100 Ta
1.376 -0.795 12.808 Ta
0.000 1.589 12.808 Ta
1.376 0.795 17.391 Ta
```

Output
Formation energy from the elements (eV/atom): 0.35

---

Entry 7:
Crystalline Mg2Ta3 at its relaxed geometry. Source: Alexandria, functional GGA-PBE.

```
Mg2Ta3
1.0
0.000 7.001 2.776
4.941 0.000 2.776
4.941 7.001 0.000
Mg Ta
4 6
Cartesian
2.862 0.718 1.388 Mg
5.332 2.782 2.776 Mg
2.079 6.283 1.388 Mg
4.549 11.219 2.776 Mg
4.941 7.001 0.585 Ta
2.470 3.500 1.973 Ta
4.436 5.569 2.873 Ta
5.445 8.433 2.873 Ta
7.916 9.069 4.261 Ta
6.906 11.934 4.261 Ta
```

Output
Energy relative to the lowest polymorph listed for this composition (eV/atom): 0.1284
Formation energy from the elements (eV/atom): 0.45

---

Entry 8:
Crystalline MgTa5 at its relaxed geometry. Source: Alexandria, functional GGA-PBE.

```
MgTa5
1.0
2.351 -6.921 0.000
2.351 6.921 0.000
0.000 0.000 3.401
Mg Ta
1 5
Cartesian
0.000 0.000 0.000 Mg
2.351 4.504 1.700 Ta
2.351 2.260 0.000 Ta
2.351 0.000 1.700 Ta
2.351 -2.260 0.000 Ta
2.351 -4.504 1.700 Ta
```

Output
Energy relative to the lowest polymorph listed for this composition (eV/atom): 0.0000
Formation energy from the elements (eV/atom): 0.18

---

Entry 9:
Crystalline MgTa at its relaxed geometry. Source: Alexandria, functional GGA-PBE.

```
MgTa
1.0
7.671 0.000 0.000
0.000 7.671 0.000
0.000 0.000 7.671
Mg Ta
6 6
Cartesian
0.000 1.918 3.836 Mg
0.000 5.754 3.836 Mg
1.918 3.836 0.000 Mg
3.836 0.000 1.918 Mg
3.836 0.000 5.754 Mg
5.754 3.836 0.000 Mg
0.000 3.836 1.918 Ta
0.000 3.836 5.754 Ta
1.918 0.000 3.836 Ta
3.836 1.918 0.000 Ta
3.836 5.754 0.000 Ta
5.754 0.000 3.836 Ta
```

Output
Formation energy from the elements (eV/atom): 3.04

---

Entry 10:
Crystalline MgTa2 at its relaxed geometry. Source: Alexandria, functional GGA-PBE.

```
MgTa2
1.0
-1.740 1.740 4.711
1.740 -1.740 4.711
1.740 1.740 -4.711
Mg Ta
1 2
Cartesian
0.000 0.000 0.000 Mg
0.000 0.000 3.013 Ta
0.000 0.000 6.410 Ta
```

Output
Energy relative to the lowest polymorph listed for this composition (eV/atom): 0.0991
Formation energy from the elements (eV/atom): 0.35

---

Entry 11:
Crystalline MgTa2 at its relaxed geometry. Source: Alexandria, functional GGA-PBE.

```
MgTa2
1.0
2.264 -5.703 0.000
2.264 5.703 0.000
0.000 0.000 4.333
Mg Ta
2 4
Cartesian
2.264 4.765 3.250 Mg
2.264 -4.765 1.083 Mg
2.264 2.802 1.083 Ta
2.264 1.004 3.250 Ta
2.264 -1.004 1.083 Ta
2.264 -2.802 3.250 Ta
```

Output
Energy relative to the lowest polymorph listed for this composition (eV/atom): 0.0178
Formation energy from the elements (eV/atom): 0.27

---

Entry 12:
Crystalline Mg2Ta at its relaxed geometry. Source: Alexandria, functional GGA-PBE.

```
Mg2Ta
1.0
5.354 -1.490 0.000
5.354 1.490 0.000
-1.911 0.000 7.514
Mg Ta
4 2
Cartesian
-0.258 0.000 2.240 Mg
2.563 0.000 2.638 Mg
6.235 0.000 4.876 Mg
9.056 0.000 5.274 Mg
1.981 0.000 7.362 Ta
6.817 0.000 0.152 Ta
```

Output
Energy relative to the lowest polymorph listed for this composition (eV/atom): 0.0000
Formation energy from the elements (eV/atom): 0.20

---

| no. | DFT total energy (eV/atom) |
| --- | --- |
| 1 | -8.14 |
| 2 | -8.14 |
| 3 | -6.10 |
| 4 | -7.38 |
| 5 | -7.10 |
| 6 | -6.77 |
| 7 | -7.30 |
| 8 | -9.96 |
| 9 | -3.68 |
| 10 | -8.08 |
| 11 | -8.16 |
| 12 | -4.81 |